# 1
Compound: SrNd2PuO6
Source: Alexandria via LeMat-Bulk
Functional: GGA-PBE
Structure: optimized geometry

abc: 6.311 6.311 6.311
angles: 57.75 57.75 57.75
Fractional coordinates of all 10 atoms:
Sr  0.000  0.000  0.000
Nd  0.271  0.271  0.271
Nd  0.779  0.779  0.779
Pu  0.486  0.486  0.486
O  0.110  0.654  0.407
O  0.197  0.583  0.866
O  0.407  0.110  0.654
O  0.583  0.866  0.197
O  0.654  0.407  0.110
O  0.866  0.197  0.583

Output
SG: R3, No. 146
Energy relative to the elements, uncorrected (eV per atom): -3.119
DOS(E_F) (states/eV/f.u.): 0.005

---

# 2
Compound: Na2BiAu4
Source: Alexandria via LeMat-Bulk
Functional: GGA-PBE
Structure: optimized geometry

abc: 5.460 5.460 15.279
angles: 90.00 90.00 90.00
Fractional coordinates of all 14 atoms:
Na  0.000  0.000  0.122
Na  0.000  0.000  0.878
Na  0.500  0.500  0.378
Na  0.500  0.500  0.622
Bi  0.000  0.000  0.500
Bi  0.500  0.500  0.000
Au  0.000  0.000  0.316
Au  0.000  0.000  0.684
Au  0.000  0.500  0.000
Au  0.000  0.500  0.500
Au  0.500  0.000  0.000
Au  0.500  0.000  0.500
Au  0.500  0.500  0.184
Au  0.500  0.500  0.816

Output
SG: I4/mmm, No. 139
DOS(E_F) (states/eV/f.u.): 1.150
Formation energy from the elements (eV per atom): 0.137

---

# 3
Compound: Na2TlCd2
Source: Alexandria via LeMat-Bulk
Functional: GGA-PBE
Structure: optimized geometry

abc: 8.131 8.131 4.238
angles: 90.00 90.00 90.00
Fractional coordinates of all 10 atoms:
Na  0.172  0.328  0.000
Na  0.328  0.828  0.000
Na  0.672  0.172  0.000
Na  0.828  0.672  0.000
Tl  0.000  0.000  0.500
Tl  0.500  0.500  0.500
Cd  0.128  0.628  0.500
Cd  0.372  0.128  0.500
Cd  0.628  0.872  0.500
Cd  0.872  0.372  0.500

Output
SG: P4/mbm, No. 127
DOS(E_F) (states/eV/f.u.): 1.874
Formation energy from the elements (eV per atom): -0.054

---

# 4
Compound: Ti2CoSbH
Source: Alexandria via LeMat-Bulk
Functional: GGA-PBE
Structure: optimized geometry

abc: 4.030 4.030 3.998
angles: 90.00 90.00 90.00
Fractional coordinates of all 5 atoms:
Ti  0.000  0.500  0.000
Ti  0.500  0.000  0.000
Co  0.000  0.000  0.500
Sb  0.500  0.500  0.500
H  0.000  0.000  0.000

Output
SG: P4/mmm, No. 123
DOS(E_F) (states/eV/f.u.): 3.844
Raw total energy (eV/atom): -6.4467